# RbTe2Au PBE-GGA relaxed
data_RbTe2Au
_chemical_formula_sum 'Rb4 Te8 Au4'
_cell_length_a 7.192
_cell_length_b 7.786
_cell_length_c 12.260
_cell_angle_alpha 111.41
_cell_angle_beta 90.00
_cell_angle_gamma 90.00
_space_group_name_H-M_alt 'P 1'
_space_group_IT_number 1
_space_group_name_Hall 'P 1'
loop_
_atom_site_label
_atom_site_type_symbol
_atom_site_fract_x
_atom_site_fract_y
_atom_site_fract_z
Rb1 Rb 0.212 0.086 0.387
Rb2 Rb 0.788 0.914 0.613
Rb3 Rb 0.212 0.414 0.113
Rb4 Rb 0.788 0.586 0.887
Te1 Te 0.816 0.103 0.945
Te2 Te 0.184 0.897 0.055
Te3 Te 0.816 0.397 0.555
Te4 Te 0.184 0.603 0.445
Te5 Te 0.708 0.557 0.187
Te6 Te 0.292 0.443 0.813
Te7 Te 0.708 0.943 0.313
Te8 Te 0.292 0.057 0.687
Au1 Au 0.163 0.539 0.641
Au2 Au 0.837 0.461 0.359
Au3 Au 0.163 0.961 0.859
Au4 Au 0.837 0.039 0.141
# E_form (uncorrected) ... -0.422 eV per atom
# D(E_F) ... 0.9 states/eV/f.u.

***

# Tl2Ag2PbCl7 PBE-GGA relaxed
data_Tl2Ag2PbCl7
_chemical_formula_sum 'Tl2 Ag2 Pb1 Cl7'
_cell_length_a 5.189
_cell_length_b 5.189
_cell_length_c 13.286
_cell_angle_alpha 78.83
_cell_angle_beta 78.83
_cell_angle_gamma 88.71
_space_group_name_H-M_alt 'P 1'
_space_group_IT_number 1
_space_group_name_Hall 'P 1'
loop_
_atom_site_label
_atom_site_type_symbol
_atom_site_fract_x
_atom_site_fract_y
_atom_site_fract_z
Tl1 Tl 0.770 0.770 0.361
Tl2 Tl 0.230 0.230 0.639
Ag1 Ag 0.594 0.594 0.801
Ag2 Ag 0.406 0.406 0.199
Pb1 Pb 0.000 0.000 0.000
Cl1 Cl 0.500 0.500 0.000
Cl2 Cl 0.334 0.334 0.399
Cl3 Cl 0.666 0.666 0.601
Cl4 Cl 0.926 0.433 0.162
Cl5 Cl 0.433 0.926 0.162
Cl6 Cl 0.567 0.074 0.838
Cl7 Cl 0.074 0.567 0.838
# E_form (uncorrected) ... -0.719 eV per atom
# D(E_F) ... 4.5 states/eV/f.u.

***

# CdGe2Os PBE-GGA relaxed
data_CdGe2Os
_chemical_formula_sum 'Cd1 Ge2 Os1'
_cell_length_a 3.054
_cell_length_b 3.054
_cell_length_c 9.405
_cell_angle_alpha 80.66
_cell_angle_beta 80.66
_cell_angle_gamma 60.00
_space_group_name_H-M_alt 'P 1'
_space_group_IT_number 1
_space_group_name_Hall 'P 1'
loop_
_atom_site_label
_atom_site_type_symbol
_atom_site_fract_x
_atom_site_fract_y
_atom_site_fract_z
Ge1 Ge 0.099 0.099 0.702
Ge2 Ge 0.901 0.901 0.298
Os1 Os 0.500 0.500 0.500
Cd1 Cd 0.000 0.000 0.000
# ΔE_f ... 0.14 eV/atom
# D(E_F) ... 1.5 states/eV/f.u.

***

# Tl2HgMo PBE-GGA relaxed
data_Tl2HgMo
_chemical_formula_sum 'Tl2 Hg1 Mo1'
_cell_length_a 3.058
_cell_length_b 3.058
_cell_length_c 10.026
_cell_angle_alpha 90.00
_cell_angle_beta 90.00
_cell_angle_gamma 90.00
_space_group_name_H-M_alt 'P 1'
_space_group_IT_number 1
_space_group_name_Hall 'P 1'
loop_
_atom_site_label
_atom_site_type_symbol
_atom_site_fract_x
_atom_site_fract_y
_atom_site_fract_z
Hg1 Hg 0.000 0.000 0.536
Mo1 Mo 0.500 0.500 0.738
Tl1 Tl 0.000 0.000 0.964
Tl2 Tl 0.500 0.500 0.263
# ΔE_f ... 0.56 eV/atom
# Energy relative to the lowest polymorph listed for this composition ... 0.015 eV per atom
# D(E_F) ... 3.0 states/eV/f.u.

***

# GdLuHgPt PBE-GGA relaxed
data_GdLuHgPt
_chemical_formula_sum 'Gd1 Lu1 Hg1 Pt1'
_cell_length_a 5.069
_cell_length_b 5.069
_cell_length_c 5.069
_cell_angle_alpha 60.00
_cell_angle_beta 60.00
_cell_angle_gamma 60.00
_space_group_name_H-M_alt 'P 1'
_space_group_IT_number 1
_space_group_name_Hall 'P 1'
loop_
_atom_site_label
_atom_site_type_symbol
_atom_site_fract_x
_atom_site_fract_y
_atom_site_fract_z
Gd1 Gd 0.500 0.500 0.500
Lu1 Lu 0.000 0.000 0.000
Hg1 Hg 0.250 0.250 0.250
Pt1 Pt 0.750 0.750 0.750
# ΔE_f ... -0.81 eV/atom
# D(E_F) ... 2.5 states/eV/f.u.

***

# Pm7SmDy3 PBE-GGA relaxed
data_Pm7SmDy3
_chemical_formula_sum 'Pm7 Sm1 Dy3'
_cell_length_a 8.681
_cell_length_b 7.190
_cell_length_c 7.190
_cell_angle_alpha 120.00
_cell_angle_beta 90.00
_cell_angle_gamma 90.00
_space_group_name_H-M_alt 'P 1'
_space_group_IT_number 1
_space_group_name_Hall 'P 1'
loop_
_atom_site_label
_atom_site_type_symbol
_atom_site_fract_x
_atom_site_fract_y
_atom_site_fract_z
Pm1 Pm 0.111 0.167 0.833
Pm2 Pm 0.111 0.167 0.335
Pm3 Pm 0.124 0.667 0.333
Pm4 Pm 0.456 0.833 0.167
Pm5 Pm 0.456 0.335 0.167
Pm6 Pm 0.456 0.833 0.665
Pm7 Pm 0.111 0.665 0.833
Sm1 Sm 0.443 0.333 0.667
Dy1 Dy 0.783 0.500 0.500
Dy2 Dy 0.783 0.500 0.000
Dy3 Dy 0.783 0.000 0.500
# ΔE_f ... 0.18 eV/atom
# Energy relative to the lowest polymorph listed for this composition ... 0.054 eV per atom
# D(E_F) ... 17.5 states/eV/f.u.